(1)
# CrTc2Os (PBE, optimized geometry)
data_CrTc2Os
_chemical_formula_sum 'Cr2 Tc4 Os2'
_cell_length_a 8.9738
_cell_length_b 2.7173
_cell_length_c 4.6518
_cell_angle_alpha 90.00
_cell_angle_beta 100.24
_cell_angle_gamma 90.00
_space_group_name_H-M_alt 'C 1 2/m 1'
_space_group_IT_number 12
loop_
_space_group_symop_operation_xyz
'x,y,z'
'-x,-y,-z'
'-x,y,-z'
'x,-y,z'
'x+1/2,y+1/2,z'
'-x+1/2,-y+1/2,-z'
'-x+1/2,y+1/2,-z'
'x+1/2,-y+1/2,z'
loop_
_atom_site_label
_atom_site_type_symbol
_atom_site_fract_x
_atom_site_fract_y
_atom_site_fract_z
Cr1 Cr 0.0000 0.0000 0.0000
Tc1 Tc 0.2492 0.0000 0.7515
Os1 Os 0.0000 0.5000 0.5000
# * spin magnetization: 0.008 μB per atom
# * offset from the most stable computed form: 0.08 eV/f.u.


(2)
# CrTcOs (PBE, optimized geometry)
data_CrTcOs
_chemical_formula_sum 'Cr4 Tc4 Os4'
_cell_length_a 2.9527
_cell_length_b 4.4104
_cell_length_c 12.7509
_cell_angle_alpha 90.00
_cell_angle_beta 90.00
_cell_angle_gamma 90.00
_space_group_name_H-M_alt 'F m m 2'
_space_group_IT_number 42
_space_group_name_Hall 'F 2 -2'
loop_
_atom_site_label
_atom_site_type_symbol
_atom_site_fract_x
_atom_site_fract_y
_atom_site_fract_z
Cr1 Cr 0.0000 0.0000 0.0000
Tc1 Tc 0.0000 0.0000 0.3422
Os1 Os 0.0000 0.0000 0.6608
# * spin magnetization: 0.000 μB per atom
# * offset from the most stable computed form: 0.67 eV/f.u.